# PmSm2DyAs4, optimized geometry, DFT PBE-GGA
data_PmSm2DyAs4
_symmetry_space_group_name_H-M 'P 1 2/m 1'
_symmetry_Int_Tables_number 10
_cell_length_a 7.268
_cell_length_b 4.200
_cell_length_c 7.269
_cell_angle_alpha 90.00
_cell_angle_beta 109.46
_cell_angle_gamma 90.00
loop_
_symmetry_equiv_pos_as_xyz
'x,y,z'
'-x,-y,-z'
'-x,y,-z'
'x,-y,z'
loop_
_atom_site_label
_atom_site_fract_x
_atom_site_fract_y
_atom_site_fract_z
_atom_site_occupancy
Pm1 0.000 0.000 0.000 1
Sm1 0.000 0.500 0.500 1
Sm2 0.500 0.000 0.500 1
Dy1 0.500 0.500 0.000 1
As1 0.253 0.500 0.249 1
As2 0.254 0.000 0.753 1
# formation enthalpy at 0 K = -12.214 eV per formula unit
# energy = -6.2003 eV/atom
# spin magnetization = 0.00 μB/cell